Here is crystalline TcNi3Ir3 at its relaxed geometry from Alexandria. Energies are from PBE.

Structure (POSCAR):
```
TcNi3Ir3
1.0
-1.796 -1.869 -0.219
6.535 -5.486 -6.755
0.540 -1.775 10.725
Ir Ni Tc
6 6 2
Cartesian
2.668 -5.987 6.055 Ir
2.612 -3.143 -2.304 Ir
5.763 -6.184 -2.181 Ir
1.391 -4.310 2.217 Ir
3.889 -4.820 1.534 Ir
-0.483 -2.946 5.932 Ir
-0.245 -2.870 3.335 Ni
2.384 -3.210 0.135 Ni
2.896 -5.920 3.616 Ni
4.354 -4.677 -3.503 Ni
5.525 -6.260 0.416 Ni
0.925 -4.454 7.254 Ni
1.192 -4.415 4.736 Tc
4.087 -4.715 -0.985 Tc
```

SG: No. 176
Total magnetization (μB/cell): 0.3
Energy of formation (eV per atom): 0.62
Total energy (eV/cell): -99.92